Material: La2CdPb2
Method: DFT, GGA-PBE
State: optimized geometry

Crystal system: tetragonal
ρ in g cm⁻³: 8.20
Calculated volume in Å³/cell: 326
Energy relative to the lowest polymorph listed for this composition in meV/atom: 198

The structure in POSCAR format:
```
La2CdPb2
1.0
8.6352 0.0000 0.0000
0.0000 8.6352 0.0000
0.0000 0.0000 4.3724
La Cd Pb
4 2 4
direct
0.1255 0.3745 0.0000
0.3745 0.8745 0.0000
0.6255 0.1255 0.0000
0.8745 0.6255 0.0000
0.0000 0.0000 0.0000
0.5000 0.5000 0.0000
0.1789 0.6789 0.5000
0.3211 0.1789 0.5000
0.6789 0.8211 0.5000
0.8211 0.3211 0.5000
```